No. 1
AcPH2Pd2 | PBE-GGA | relaxed

Results
VASP energy ... -5.004 eV per atom
Space-group type ... P2_1/m, No. 11
Magnetization ... 0.00 μB per atom
Volume ... 198 Å³ per cell

Cell and atoms, written as POSCAR:
```
AcPH2Pd2
1.0
5.966 0.000 0.000
0.000 5.565 0.000
-1.486 0.000 5.954
Ac P H Pd
2 2 4 4
direct
0.186 0.250 0.283
0.814 0.750 0.717
0.322 0.750 0.116
0.678 0.250 0.884
0.127 0.250 0.717
0.251 0.750 0.601
0.749 0.250 0.399
0.873 0.750 0.283
0.326 0.002 0.791
0.326 0.498 0.791
0.674 0.502 0.209
0.674 0.998 0.209
```

---

No. 2
AcPHPd6 | PBE-GGA | relaxed

Results
VASP energy ... -5.353 eV per atom
Space-group type ... Imma, No. 74
Magnetization ... 0.00 μB per atom
Volume ... 321 Å³ per cell

Cell and atoms, written as POSCAR:
```
AcPHPd6
1.0
-3.822 3.843 5.462
3.822 -3.843 5.462
3.822 3.843 -5.462
Ac P H Pd
2 2 2 12
direct
0.414 0.164 0.250
0.586 0.836 0.750
0.000 0.000 0.500
0.000 0.500 0.000
0.000 0.500 0.500
0.500 0.500 0.000
0.103 0.433 0.285
0.103 0.818 0.670
0.116 0.866 0.250
0.284 0.534 0.750
0.352 0.182 0.785
0.352 0.567 0.170
0.648 0.433 0.830
0.648 0.818 0.215
0.716 0.466 0.250
0.884 0.134 0.750
0.897 0.182 0.330
0.897 0.567 0.715
```

---

No. 3
Ac2PHPd6 | PBE-GGA | relaxed

Results
VASP energy ... -5.516 eV per atom
Space-group type ... P-1, No. 2
Magnetization ... 0.00 μB per atom
Volume ... 182 Å³ per cell

Cell and atoms, written as POSCAR:
```
Ac2PHPd6
1.0
5.935 0.000 0.000
-2.959 5.163 0.000
-0.025 -3.408 5.928
Ac P H Pd
2 1 1 6
direct
0.230 0.461 0.193
0.770 0.539 0.807
0.500 0.000 0.000
0.000 0.000 0.500
0.231 0.463 0.693
0.233 0.963 0.693
0.268 0.036 0.306
0.732 0.964 0.694
0.767 0.037 0.307
0.769 0.537 0.307
```

---

Question: What is the formula in the first record?
Answer: AcPH2Pd2